Here is Sc4CdGaC after structural relaxation from the Alexandria database. Energies are from PBE.

Density, Mg/m³: 4.34
Formation energy, eV per atom: -0.381

Cell lengths 7.7032, 7.7032, 6.3881 Å; angles 90.00, 90.00, 130.95 degrees
Element x y z (fractional)
1 Sc 0.0000 0.5000 0.0000
2 Sc 0.0000 0.5000 0.5000
3 Sc 0.0816 0.9184 0.7500
4 Sc 0.4100 0.5900 0.7500
5 Sc 0.5000 0.0000 0.0000
6 Sc 0.5000 0.0000 0.5000
7 Sc 0.5900 0.4100 0.2500
8 Sc 0.9184 0.0816 0.2500
9 Cd 0.3869 0.6131 0.2500
10 Cd 0.6131 0.3869 0.7500
11 Ga 0.1224 0.8776 0.2500
12 Ga 0.8776 0.1224 0.7500
13 C 0.2487 0.7513 0.7500
14 C 0.7513 0.2487 0.2500

Here is SrCdGa2C after structural relaxation from the Alexandria database. Energies are from PBE.

Density, Mg/m³: 5.46
Formation energy, eV per atom: 0.597

Cell lengths 4.5946, 4.5946, 5.0648 Å; angles 90.00, 90.00, 90.00 degrees
Element x y z (fractional)
1 Sr 0.0000 0.0000 0.0000
2 Cd 0.5000 0.5000 0.0000
3 Ga 0.0000 0.5000 0.5000
4 Ga 0.5000 0.0000 0.5000
5 C 0.5000 0.5000 0.5000

Here is CdGaTe2C after structural relaxation from the Alexandria database. Energies are from PBE.

Density, Mg/m³: 4.92
Raw formation energy, eV per atom: 1.630

Cell lengths 5.4411, 5.4411, 5.1257 Å; angles 90.00, 90.00, 90.00 degrees
Element x y z (fractional)
1 Cd 0.0000 0.0000 0.0000
2 Ga 0.0000 0.0000 0.5000
3 Te 0.0000 0.5000 0.5000
4 Te 0.5000 0.0000 0.5000
5 C 0.5000 0.5000 0.0000

Here is TlCd2GaC after structural relaxation from the Alexandria database. Energies are from PBE.

Density, Mg/m³: 8.12
Formation energy, eV per atom: 0.728

Cell lengths 4.9748, 4.9748, 4.2244 Å; angles 90.00, 90.00, 90.00 degrees
Element x y z (fractional)
1 Tl 0.0000 0.0000 0.0000
2 Cd 0.0000 0.5000 0.5000
3 Cd 0.5000 0.0000 0.5000
4 Ga 0.5000 0.5000 0.0000
5 C 0.5000 0.5000 0.5000

Here is Gd12Cd3C5 after structural relaxation from the Alexandria database. Energies are from PBE.

Density, Mg/m³: 7.29
Formation energy, eV per atom: -0.059

Cell lengths 13.9338, 13.9338, 13.9338 Å; angles 109.47, 109.47, 109.47 degrees
Element x y z (fractional)
1 Gd 0.0138 0.1978 0.1110
2 Gd 0.0138 0.3160 0.9027
3 Gd 0.0868 0.6978 0.6840
4 Gd 0.0868 0.8890 0.4027
5 Gd 0.0973 0.6110 0.4132
6 Gd 0.0973 0.9862 0.6840
7 Gd 0.1110 0.0138 0.1978
8 Gd 0.1110 0.5973 0.9132
9 Gd 0.1840 0.1978 0.5868
10 Gd 0.1840 0.4862 0.5973
11 Gd 0.1978 0.1110 0.0138
12 Gd 0.1978 0.5868 0.1840
13 Gd 0.3022 0.3160 0.9132
14 Gd 0.3022 0.4862 0.3890
15 Gd 0.3160 0.9027 0.0138
16 Gd 0.3160 0.9132 0.3022
17 Gd 0.3890 0.3022 0.4862
18 Gd 0.3890 0.5868 0.9027
19 Gd 0.4027 0.0868 0.8890
20 Gd 0.4027 0.8160 0.5138
21 Gd 0.4132 0.0973 0.6110
22 Gd 0.4132 0.8160 0.8022
23 Gd 0.4862 0.3890 0.3022
24 Gd 0.4862 0.5973 0.1840
25 Gd 0.5138 0.4027 0.8160
26 Gd 0.5138 0.6110 0.6978
27 Gd 0.5868 0.1840 0.1978
28 Gd 0.5868 0.9027 0.3890
29 Gd 0.5973 0.1840 0.4862
30 Gd 0.5973 0.9132 0.1110
31 Gd 0.6110 0.4132 0.0973
32 Gd 0.6110 0.6978 0.5138
33 Gd 0.6840 0.0868 0.6978
34 Gd 0.6840 0.0973 0.9862
35 Gd 0.6978 0.5138 0.6110
36 Gd 0.6978 0.6840 0.0868
37 Gd 0.8022 0.4132 0.8160
38 Gd 0.8022 0.8890 0.9862
39 Gd 0.8160 0.5138 0.4027
40 Gd 0.8160 0.8022 0.4132
41 Gd 0.8890 0.4027 0.0868
42 Gd 0.8890 0.9862 0.8022
43 Gd 0.9027 0.0138 0.3160
44 Gd 0.9027 0.3890 0.5868
45 Gd 0.9132 0.1110 0.5973
46 Gd 0.9132 0.3022 0.3160
47 Gd 0.9862 0.6840 0.0973
48 Gd 0.9862 0.8022 0.8890
49 Cd 0.1250 0.2500 0.3750
50 Cd 0.1250 0.3750 0.7500
51 Cd 0.2500 0.3750 0.1250
52 Cd 0.2500 0.8750 0.6250
53 Cd 0.3750 0.1250 0.2500
54 Cd 0.3750 0.7500 0.1250
55 Cd 0.6250 0.2500 0.8750
56 Cd 0.6250 0.8750 0.7500
57 Cd 0.7500 0.1250 0.3750
58 Cd 0.7500 0.6250 0.8750
59 Cd 0.8750 0.6250 0.2500
60 Cd 0.8750 0.7500 0.6250
61 C 0.0000 0.0000 0.0000
62 C 0.0000 0.0000 0.5000
63 C 0.0000 0.5000 0.0000
64 C 0.0000 0.5000 0.5000
65 C 0.1250 0.7500 0.8750
66 C 0.1250 0.8750 0.2500
67 C 0.2500 0.1250 0.8750
68 C 0.2500 0.6250 0.3750
69 C 0.3750 0.2500 0.6250
70 C 0.3750 0.6250 0.7500
71 C 0.5000 0.0000 0.0000
72 C 0.5000 0.0000 0.5000
73 C 0.5000 0.5000 0.0000
74 C 0.5000 0.5000 0.5000
75 C 0.6250 0.3750 0.2500
76 C 0.6250 0.7500 0.3750
77 C 0.7500 0.3750 0.6250
78 C 0.7500 0.8750 0.1250
79 C 0.8750 0.1250 0.7500
80 C 0.8750 0.2500 0.1250

Here is CdGeC3 after structural relaxation from the Alexandria database. Energies are from PBE.

Density, Mg/m³: 4.55
Energy above the lowest structure with this stoichiometry, meV per atom: 828.7
Formation energy, eV per atom: 3.358

Cell lengths 4.3213, 4.3213, 4.3213 Å; angles 90.00, 90.00, 90.00 degrees
Element x y z (fractional)
1 Cd 0.0000 0.0000 0.0000
2 Ge 0.5000 0.5000 0.5000
3 C 0.0000 0.0000 0.5000
4 C 0.0000 0.5000 0.0000
5 C 0.5000 0.0000 0.0000